# 1
Entry from Alexandria: a geometry-optimized Ru2Pt2Rh structure (GGA-PBE).

The value obtained for the calculated formation energy is 0.2120 eV per atom. For the size of the total moment, the calculation gives 0.272 μB per atom.

The space group is C2/m (No. 12) and the conventional cell measures 9.799, 4.701 and 7.192 Å, with angles of 90.00, 114.73 and 90.00 degrees. Symmetry generates all atoms from Ru at (0.053, 0.000, 0.358), Ru at (0.158, 0.500, 0.547), Pt at (0.052, 0.500, 0.842), Pt at (0.247, 0.000, 0.753) and Rh at (0.145, 0.000, 0.054).

# 2
Entry from Alexandria: a geometry-optimized NdEr2Tl2Ag2 structure (GGA-PBE).

The value obtained for the calculated formation energy is -0.1862 eV per atom. For the size of the total moment, the calculation gives 0.000 μB per atom.

The space group is R-3m (No. 166, hexagonal axes) and the conventional cell measures 4.9162, 4.9162 and 26.0787 Å, with angles of 90.00, 90.00 and 120.00 degrees. Symmetry generates all atoms from Nd at (0.0000, 0.0000, 0.0000), Er at (0.0000, 0.0000, 0.1334), Tl at (0.0000, 0.0000, 0.2629) and Ag at (0.0000, 0.0000, 0.4389).

Values of D(E_F), in order: 5.95; 7.45, all in states/eV/f.u..
Values of raw total energy, in order: -7.385; -3.662, all in eV per atom.
Values of calculated density, in order: 15.35; 10.07, all in g/cm³.